1.
Below is a geometry-optimized CaMn3Pt structure, with properties calculated at the GGA-PBE level.

```
CaMn3Pt
1.0
4.939 0.000 0.000
0.000 4.939 0.000
0.000 0.000 4.939
Ca Mn Pt
1 3 1
direct
0.000 0.000 0.000
0.000 0.500 0.500
0.500 0.000 0.500
0.500 0.500 0.000
0.500 0.500 0.500
```

Values from the calculation:
Excess energy over the best structure of this formula in the dataset: 0.0 meV per atom
Formation enthalpy at 0 K: 0.4132 eV/atom
Space-group type: Pm-3m (221)



2.
Below is a geometry-optimized Tb8Dy2Zn structure, with properties calculated at the GGA-PBE level.

```
Tb8Dy2Zn
1.0
9.482 -2.754 0.000
9.482 2.754 0.000
-0.355 0.000 6.407
Tb Dy Zn
8 2 1
direct
0.041 0.041 0.252
0.157 0.157 0.811
0.345 0.345 0.881
0.421 0.421 0.394
0.579 0.579 0.606
0.655 0.655 0.119
0.843 0.843 0.189
0.959 0.959 0.748
0.239 0.239 0.332
0.761 0.761 0.668
0.500 0.500 0.000
```

Values from the calculation:
Formation enthalpy at 0 K: -0.0205 eV/atom
Space-group type: C2/m (12)



3.
Below is a geometry-optimized Er4In3Ag structure, with properties calculated at the GGA-PBE level.

```
Er4In3Ag
1.0
3.730 0.000 0.000
0.000 4.770 0.000
0.000 0.000 11.778
Er In Ag
4 3 1
direct
0.000 0.000 0.000
0.000 0.500 0.296
0.500 0.000 0.481
0.500 0.500 0.805
0.000 0.000 0.725
0.000 0.500 0.566
0.500 0.500 0.070
0.500 0.000 0.223
```

Values from the calculation:
Excess energy over the best structure of this formula in the dataset: 46.1 meV per atom
Formation enthalpy at 0 K: -0.3758 eV/atom
Space-group type: Pmm2 (25)